# 1
Tm2ScTl: relaxed, GGA-PBE.

Summary:
* density of states at the Fermi level: 0.815 states/eV/atom
* E above lowest polymorph: 25 meV/atom
* ΔE_f: -0.6 eV/f.u.

a = 3.571 Å, b = 3.571 Å, c = 8.511 Å
α = 90.00°, β = 90.00°, γ = 90.00°
Sites, in units of the cell vectors:
Tm 0.000 0.000 0.243
Tm 0.000 0.000 0.757
Sc 0.500 0.500 0.500
Tl 0.500 0.500 0.000

***

# 2
CeSc2Ag: relaxed, GGA-PBE.

Summary:
* density of states at the Fermi level: 2.506 states/eV/atom
* E above lowest polymorph: 191 meV/atom
* ΔE_f: 0.4 eV/f.u.

a = 7.091 Å, b = 7.091 Å, c = 7.091 Å
α = 90.00°, β = 90.00°, γ = 90.00°
Sites, in units of the cell vectors:
Ce 0.000 0.000 0.000
Ce 0.000 0.500 0.500
Ce 0.500 0.000 0.500
Ce 0.500 0.500 0.000
Sc 0.250 0.250 0.250
Sc 0.250 0.250 0.750
Sc 0.250 0.750 0.250
Sc 0.250 0.750 0.750
Sc 0.750 0.250 0.250
Sc 0.750 0.250 0.750
Sc 0.750 0.750 0.250
Sc 0.750 0.750 0.750
Ag 0.000 0.000 0.500
Ag 0.000 0.500 0.000
Ag 0.500 0.000 0.000
Ag 0.500 0.500 0.500

***

# 3
MgCrBr2: relaxed, GGA-PBE.

Summary:
* density of states at the Fermi level: 0.442 states/eV/atom
* E above lowest polymorph: 111 meV/atom
* raw formation energy: -0.310 eV per atom

a = 3.941 Å, b = 3.670 Å, c = 7.816 Å
α = 90.00°, β = 104.46°, γ = 90.00°
Sites, in units of the cell vectors:
Mg 0.000 0.000 0.000
Cr 0.581 0.500 0.164
Br 0.412 0.500 0.823
Br 0.697 0.000 0.398

***

# 4
TaOsW2: relaxed, GGA-PBE.

Summary:
* density of states at the Fermi level: 0.720 states/eV/atom
* E above lowest polymorph: 53 meV/atom
* ΔE_f: 0.0 eV/f.u.

a = 5.461 Å, b = 8.973 Å, c = 2.791 Å
α = 90.00°, β = 109.33°, γ = 90.00°
Sites, in units of the cell vectors:
Ta 0.000 0.000 0.000
Ta 0.500 0.500 0.000
Os 0.000 0.500 0.000
Os 0.500 0.000 0.000
W 0.250 0.250 0.500
W 0.250 0.750 0.500
W 0.750 0.250 0.500
W 0.750 0.750 0.500

***

# 5
YBiSbI2: relaxed, GGA-PBE.

Summary:
* density of states at the Fermi level: 0.710 states/eV/atom
* E above lowest polymorph: 490 meV/atom
* raw formation energy: 0.306 eV per atom

a = 5.929 Å, b = 5.929 Å, c = 6.046 Å
α = 90.00°, β = 90.00°, γ = 90.00°
Sites, in units of the cell vectors:
Y 0.000 0.000 0.000
Bi 0.500 0.500 0.500
Sb 0.500 0.500 0.000
I 0.000 0.500 0.500
I 0.500 0.000 0.500

***

# 6
PdN2Cl2: relaxed, GGA-PBE.

Summary:
* density of states at the Fermi level: 0.680 states/eV/atom
* E above lowest polymorph: 654 meV/atom
* raw formation energy: 0.472 eV per atom

a = 5.159 Å, b = 5.159 Å, c = 6.802 Å
α = 90.00°, β = 90.00°, γ = 90.00°
Sites, in units of the cell vectors:
Pd 0.000 0.000 0.000
Pd 0.500 0.500 0.500
N 0.000 0.000 0.418
N 0.000 0.000 0.582
N 0.500 0.500 0.082
N 0.500 0.500 0.918
Cl 0.000 0.500 0.250
Cl 0.000 0.500 0.750
Cl 0.500 0.000 0.250
Cl 0.500 0.000 0.750

***

# 7
PdNO: relaxed, GGA-PBE.

Summary:
* density of states at the Fermi level: 0.493 states/eV/atom
* E above lowest polymorph: 25 meV/atom
* raw formation energy: 0.043 eV per atom

a = 4.549 Å, b = 4.632 Å, c = 7.853 Å
α = 90.00°, β = 106.73°, γ = 90.00°
Sites, in units of the cell vectors:
Pd 0.169 0.000 0.338
Pd 0.331 0.500 0.662
Pd 0.669 0.500 0.338
Pd 0.831 0.000 0.662
N 0.038 0.000 0.076
N 0.462 0.500 0.924
N 0.538 0.500 0.076
N 0.962 0.000 0.924
O 0.194 0.500 0.388
O 0.306 0.000 0.612
O 0.694 0.000 0.388
O 0.806 0.500 0.612

***

# 8
MnAgTe3: relaxed, GGA-PBE.

Summary:
* density of states at the Fermi level: 0.354 states/eV/atom
* E above lowest polymorph: 0 meV/atom
* raw formation energy: -0.090 eV per atom

a = 9.492 Å, b = 9.492 Å, c = 6.805 Å
α = 106.39°, β = 106.39°, γ = 97.41°
Sites, in units of the cell vectors:
Mn 0.064 0.936 0.750
Mn 0.201 0.799 0.250
Mn 0.799 0.201 0.750
Mn 0.936 0.064 0.250
Ag 0.360 0.410 0.992
Ag 0.410 0.360 0.492
Ag 0.590 0.640 0.508
Ag 0.640 0.590 0.008
Te 0.068 0.203 0.688
Te 0.086 0.676 0.812
Te 0.203 0.068 0.188
Te 0.223 0.518 0.296
Te 0.324 0.914 0.688
Te 0.482 0.777 0.204
Te 0.518 0.223 0.796
Te 0.676 0.086 0.312
Te 0.777 0.482 0.704
Te 0.797 0.932 0.812
Te 0.914 0.324 0.188
Te 0.932 0.797 0.312